(1)
The following is a PBEsol calculation of an optimized crystal structure of CdCuCl3, from Alexandria.

Cell: 5.050 5.050 5.050 Å, 90.00 90.00 90.00°
Space group Pm-3m (No. 221)
Asymmetric unit:
1 Cd 0.000 0.000 0.000
2 Cu 0.500 0.500 0.500
3 Cl 0.000 0.000 0.500

Calculated values
Formation energy (no corrections) in meV/atom: -151
Magnetic moment in μB/f.u.: 0.199
Final energy in eV per atom: -2.4615

=====

(2)
The following is a PBEsol calculation of an optimized crystal structure of BeRe3, from Alexandria.

Cell: 5.997 5.997 5.997 Å, 90.00 90.00 90.00°
Space group Fm-3m (No. 225)
Asymmetric unit:
1 Be 0.000 0.000 0.000
2 Re 0.000 0.000 0.500
3 Re 0.250 0.250 0.250

Calculated values
Magnetic moment in μB/f.u.: 0.000
Final energy in eV per atom: -10.8310

=====

(3)
The following is a PBEsol calculation of an optimized crystal structure of Re2PdAu, from Alexandria.

Cell: 6.229 6.229 6.229 Å, 90.00 90.00 90.00°
Space group Fm-3m (No. 225)
Asymmetric unit:
1 Re 0.250 0.250 0.250
2 Pd 0.000 0.000 0.000
3 Au 0.000 0.000 0.500

Calculated values
Magnetic moment in μB/f.u.: 0.001
Final energy in eV per atom: -8.3643

=====

(4)
The following is a PBEsol calculation of an optimized crystal structure of MgZrSc2, from Alexandria.

Cell: 5.264 5.264 3.259 Å, 90.00 90.00 90.00°
Space group P4/mmm (No. 123)
Asymmetric unit:
1 Mg 0.000 0.000 0.000
2 Zr 0.500 0.500 0.000
3 Sc 0.000 0.500 0.500

Calculated values
Magnetic moment in μB/f.u.: 0.004
Final energy in eV per atom: -5.8998

=====

(5)
The following is a PBEsol calculation of an optimized crystal structure of SrCdFe, from Alexandria.

Cell: 6.758 6.758 6.758 Å, 90.00 90.00 90.00°
Space group F-43m (No. 216)
Asymmetric unit:
1 Sr 0.000 0.000 0.000
2 Cd 0.000 0.000 0.500
3 Fe 0.250 0.250 0.750

Calculated values
Magnetic moment in μB/f.u.: 2.443
Final energy in eV per atom: -3.3558

=====

(6)
The following is a PBEsol calculation of an optimized crystal structure of TcBiI2N, from Alexandria.

Cell: 5.562 5.562 3.742 Å, 90.00 90.00 90.00°
Space group P4/mmm (No. 123)
Asymmetric unit:
1 Tc 0.000 0.000 0.000
2 Bi 0.500 0.500 0.500
3 I 0.000 0.500 0.000
4 N 0.000 0.000 0.500

Calculated values
Formation energy (no corrections) in meV/atom: 309
Magnetic moment in μB/f.u.: 0.001
Final energy in eV per atom: -5.2136

=====

(7)
The following is a PBEsol calculation of an optimized crystal structure of Sr2CuBi2O6, from Alexandria.

Cell: 5.411 24.710 5.053 Å, 90.00 90.00 90.00°
Space group Cccm (No. 66)
Asymmetric unit:
1 Sr 0.248 0.178 0.000
2 Cu 0.250 0.250 0.500
3 Bi 0.234 0.439 0.500
4 O 0.000 0.251 0.250
5 O 0.164 0.437 0.000
6 O 0.233 0.144 0.500

Calculated values
Formation energy (no corrections) in meV/atom: -1688
Magnetic moment in μB/f.u.: 0.001
Final energy in eV per atom: -6.0590

=====

(8)
The following is a PBEsol calculation of an optimized crystal structure of SrZrTaIr2, from Alexandria.

Cell: 4.754 4.754 4.810 Å, 90.00 90.00 90.00°
Space group P4/mmm (No. 123)
Asymmetric unit:
1 Sr 0.000 0.000 0.000
2 Zr 0.500 0.500 0.500
3 Ta 0.000 0.000 0.500
4 Ir 0.000 0.500 0.000

Calculated values
Magnetic moment in μB/f.u.: 0.001
Final energy in eV per atom: -6.3012

=====

(9)
The following is a PBEsol calculation of an optimized crystal structure of ZnCu2Mo, from Alexandria.

Cell: 2.6388 2.6388 25.9743 Å, 90.00 90.00 120.00°
Space group R3m (No. 160, hexagonal axes)
Asymmetric unit:
1 Zn 0.0000 0.0000 0.0000
2 Cu 0.0000 0.0000 0.4909
3 Cu 0.0000 0.0000 0.7468
4 Mo 0.0000 0.0000 0.2430

Calculated values
Magnetic moment in μB/f.u.: 0.000
Final energy in eV per atom: -5.3359

=====

(10)
The following is a PBEsol calculation of an optimized crystal structure of CoSi4Ni, from Alexandria.

Cell: 3.7712 3.7712 18.4674 Å, 90.00 90.00 120.00°
Space group R-3m (No. 166, hexagonal axes)
Asymmetric unit:
1 Co 0.0000 0.0000 0.0000
2 Si 0.0000 0.0000 0.1232
3 Si 0.0000 0.0000 0.3729
4 Ni 0.0000 0.0000 0.5000

Calculated values
Formation energy (no corrections) in meV/atom: -557
Magnetic moment in μB/f.u.: 0.000
Final energy in eV per atom: -6.7034

=====

(11)
The following is a PBEsol calculation of an optimized crystal structure of AgAu, from Alexandria.

Cell: 2.8809 2.8809 13.9470 Å, 90.00 90.00 120.00°
Space group R-3m (No. 166, hexagonal axes)
Asymmetric unit:
1 Ag 0.0000 0.0000 0.0000
2 Au 0.0000 0.0000 0.5000

Calculated values
Magnetic moment in μB/f.u.: 0.000
Final energy in eV per atom: -3.6611

=====

(12)
The following is a PBEsol calculation of an optimized crystal structure of CaAg8, from Alexandria.

Cell: 8.701 8.701 4.204 Å, 90.00 90.00 90.00°
Space group I4/mmm (No. 139)
Asymmetric unit:
1 Ca 0.000 0.000 0.000
2 Ag 0.000 0.339 0.000
3 Ag 0.173 0.173 0.500

Calculated values
Magnetic moment in μB/f.u.: 0.000
Final energy in eV per atom: -3.2360

=====

(13)
The following is a PBEsol calculation of an optimized crystal structure of ScTaTl, from Alexandria.

Cell: 3.406 3.406 10.503 Å, 90.00 90.00 90.00°
Space group I4mm (No. 107)
Asymmetric unit:
1 Sc 0.000 0.000 0.000
2 Ta 0.000 0.000 0.663
3 Tl 0.000 0.000 0.328

Calculated values
Magnetic moment in μB/f.u.: 0.000
Final energy in eV per atom: -7.0946

=====

(14)
The following is a PBEsol calculation of an optimized crystal structure of BaYZn2, from Alexandria.

Cell: 3.612 5.321 5.374 Å, 90.00 90.00 90.00°
Space group Pmm2 (No. 25)
Asymmetric unit:
1 Ba 0.000 0.000 0.000
2 Y 0.000 0.500 0.527
3 Zn 0.500 0.000 0.495
4 Zn 0.500 0.500 0.050

Calculated values
Magnetic moment in μB/f.u.: 0.000
Final energy in eV per atom: -3.1506

=====

(15)
The following is a PBEsol calculation of an optimized crystal structure of Sr3Li, from Alexandria.

Cell: 12.563 9.162 6.355 Å, 90.00 90.00 90.00°
Space group Cmcm (No. 63)
Asymmetric unit:
1 Sr 0.000 0.169 0.250
2 Sr 0.227 0.128 0.750
3 Li 0.000 0.415 0.750

Calculated values
Magnetic moment in μB/f.u.: 0.000
Final energy in eV per atom: -1.7962

=====

(16)
The following is a PBEsol calculation of an optimized crystal structure of RhSe3Cl, from Alexandria.

Cell: 4.805 4.805 4.805 Å, 90.00 90.00 90.00°
Space group Pm-3m (No. 221)
Asymmetric unit:
1 Rh 0.000 0.000 0.000
2 Se 0.000 0.000 0.500
3 Cl 0.500 0.500 0.500

Calculated values
Formation energy (no corrections) in meV/atom: 427
Magnetic moment in μB/f.u.: 0.001
Final energy in eV per atom: -3.9128

=====

(17)
The following is a PBEsol calculation of an optimized crystal structure of LiTc2, from Alexandria.

Cell: 9.712 2.899 5.790 Å, 90.00 104.94 90.00°
Space group C2/m (No. 12)
Asymmetric unit:
1 Li 0.193 0.000 0.095
2 Tc 0.003 0.500 0.218
3 Tc 0.149 0.000 0.556

Calculated values
Magnetic moment in μB/f.u.: 0.000
Final energy in eV per atom: -7.9417

=====

(18)
The following is a PBEsol calculation of an optimized crystal structure of BeGa3Mo, from Alexandria.

Cell: 4.270 4.270 4.270 Å, 90.00 90.00 90.00°
Space group Pm-3m (No. 221)
Asymmetric unit:
1 Be 0.000 0.000 0.000
2 Ga 0.000 0.000 0.500
3 Mo 0.500 0.500 0.500

Calculated values
Magnetic moment in μB/f.u.: 2.467
Final energy in eV per atom: -4.3453

=====

(19)
The following is a PBEsol calculation of an optimized crystal structure of TaRh2Br, from Alexandria.

Cell: 3.210 3.153 7.121 Å, 90.00 90.15 90.00°
Space group P2/m (No. 10)
Asymmetric unit:
1 Ta 0.000 0.000 0.000
2 Rh 0.499 0.500 0.806
3 Br 0.500 0.000 0.500

Calculated values
Formation energy (no corrections) in meV/atom: -212
Magnetic moment in μB/f.u.: 0.000
Final energy in eV per atom: -7.8861

=====

(20)
The following is a PBEsol calculation of an optimized crystal structure of BaSc3Mn, from Alexandria.

Cell: 5.182 5.182 5.182 Å, 90.00 90.00 90.00°
Space group Pm-3m (No. 221)
Asymmetric unit:
1 Ba 0.000 0.000 0.000
2 Sc 0.000 0.000 0.500
3 Mn 0.500 0.500 0.500

Calculated values
Magnetic moment in μB/f.u.: 3.894
Final energy in eV per atom: -4.8653